Entry 1:
VASP calculation (PBE) on a geometry-optimized DyTlZnAu structure.

ΔH_f (0 K) = -0.377 eV per atom
space-group type = F-43m, No. 216
total moment = 0.00 μB per formula unit

Cell: 4.972 4.972 4.972 Å, 60.00 60.00 60.00°
Fractional coordinates of all 4 atoms:
Tl 0.250 0.250 0.250
Au 0.000 0.000 0.000
Zn 0.500 0.500 0.500
Dy 0.750 0.750 0.750

***

Entry 2:
VASP calculation (PBE) on a geometry-optimized PmTcH6 structure.

energy above the most stable polymorph in this dataset = 0.0 meV/atom
space-group type = C2/m, No. 12
total moment = 0.00 μB per formula unit

Cell: 3.889 3.889 4.757 Å, 72.27 72.27 74.25°
Fractional coordinates of all 8 atoms:
Pm 0.000 0.000 0.000
Tc 0.500 0.500 0.500
H 0.600 0.600 0.102
H 0.016 0.622 0.638
H 0.622 0.016 0.638
H 0.378 0.984 0.362
H 0.984 0.378 0.362
H 0.400 0.400 0.898

***

Entry 3:
VASP calculation (PBE) on a geometry-optimized Ni4RhPb structure.

ΔH_f (0 K) = 0.167 eV per atom
space-group type = F-43m, No. 216
total moment = 2.07 μB per formula unit

Cell: 4.848 4.848 4.848 Å, 60.00 60.00 60.00°
Each line ends with the local moment (μB).
Fractional coordinates of all 6 atoms:
Ni 0.878 0.374 0.374  0.45
Ni 0.374 0.374 0.878  0.45
Ni 0.374 0.878 0.374  0.45
Ni 0.374 0.374 0.374  0.45
Rh 0.000 0.000 0.000  0.33
Pb 0.750 0.750 0.750  0.00

***

Entry 4:
VASP calculation (PBE) on a geometry-optimized CaGaPt4 structure.

ΔH_f (0 K) = -0.606 eV per atom
space-group type = F-43m, No. 216
total moment = 0.00 μB per formula unit

Cell: 5.378 5.378 5.378 Å, 60.00 60.00 60.00°
Fractional coordinates of all 6 atoms:
Ca 0.250 0.250 0.250
Ga 0.000 0.000 0.000
Pt 0.625 0.625 0.124
Pt 0.625 0.124 0.625
Pt 0.625 0.625 0.625
Pt 0.124 0.625 0.625

***

Entry 5:
VASP calculation (PBE) on a geometry-optimized AcHoIr structure.

energy above the most stable polymorph in this dataset = 16.8 meV/atom
ΔH_f (0 K) = -0.599 eV per atom
space-group type = P2_1/c, No. 14
total moment = 0.00 μB per formula unit

Cell: 6.245 8.241 8.847 Å, 123.60 90.00 90.00°
Fractional coordinates of all 12 atoms:
Ac 0.383 0.237 0.884
Ac 0.617 0.763 0.116
Ac 0.883 0.263 0.616
Ac 0.117 0.737 0.384
Ho 0.860 0.220 0.132
Ho 0.640 0.720 0.632
Ho 0.140 0.780 0.868
Ho 0.360 0.280 0.368
Ir 0.454 0.485 0.735
Ir 0.546 0.515 0.265
Ir 0.046 0.985 0.235
Ir 0.954 0.015 0.765

***

Entry 6:
VASP calculation (PBE) on a geometry-optimized Rb2In2Sb3 structure.

energy above the most stable polymorph in this dataset = 55.4 meV/atom
space-group type = C2/m, No. 12
E_form (uncorrected) = -0.30 eV/atom
total moment = 0.00 μB per formula unit

Cell: 4.919 10.264 11.662 Å, 77.57 77.83 76.13°
Fractional coordinates of all 14 atoms:
Rb 0.264 0.129 0.343
Rb 0.736 0.871 0.657
Rb 0.381 0.269 0.970
Rb 0.619 0.731 0.030
In 0.025 0.242 0.708
In 0.975 0.758 0.292
In 0.414 0.526 0.646
In 0.586 0.474 0.354
Sb 0.068 0.985 0.879
Sb 0.932 0.015 0.121
Sb 0.147 0.493 0.212
Sb 0.853 0.507 0.788
Sb 0.404 0.751 0.441
Sb 0.596 0.249 0.559

***

Entry 7:
VASP calculation (PBE) on a geometry-optimized NpTcAsH2 structure.

space-group type = Cmcm, No. 63
final energy = -7.284 eV per atom
total moment = 3.53 μB per formula unit

Cell: 3.972 5.564 5.885 Å, 90.00 90.00 110.91°
Each line ends with the local moment (μB).
Fractional coordinates of all 10 atoms:
Np 0.704 0.407 0.750  3.62
Np 0.296 0.593 0.250  3.62
Tc 0.000 0.000 0.000  -0.21
Tc 0.000 0.000 0.500  -0.21
As 0.417 0.834 0.750  -0.05
As 0.583 0.166 0.250  -0.05
H 0.169 0.337 0.934  -0.01
H 0.831 0.663 0.066  -0.01
H 0.169 0.337 0.566  -0.01
H 0.831 0.663 0.434  -0.01

***

Entry 8:
VASP calculation (PBE) on a geometry-optimized ZrTe2Os structure.

energy above the most stable polymorph in this dataset = 401.1 meV/atom
space-group type = P2/m, No. 10
E_form (uncorrected) = 0.10 eV/atom
total moment = 0.00 μB per formula unit

Cell: 3.419 5.755 5.773 Å, 47.70 90.00 90.00°
Fractional coordinates of all 4 atoms:
Os 0.000 0.000 0.500
Te 0.000 0.000 0.000
Te 0.500 0.500 0.000
Zr 0.500 0.500 0.500

***

Entry 9:
VASP calculation (PBE) on a geometry-optimized AsRu3W structure.

energy above the most stable polymorph in this dataset = 380.1 meV/atom
ΔH_f (0 K) = 1.654 eV per atom
space-group type = Pm-3m, No. 221
total moment = 0.00 μB per formula unit

Cell: 4.681 4.681 4.681 Å, 90.00 90.00 90.00°
Fractional coordinates of all 5 atoms:
Ru 0.000 0.500 0.000
Ru 0.000 0.000 0.500
Ru 0.500 0.000 0.000
As 0.500 0.500 0.500
W 0.000 0.000 0.000

***

Entry 10:
VASP calculation (PBE) on a geometry-optimized RbZnP structure.

ΔH_f (0 K) = -0.364 eV per atom
space-group type = Pnma, No. 62
total moment = 0.00 μB per formula unit

Cell: 4.128 7.984 10.866 Å, 90.00 90.00 90.00°
Fractional coordinates of all 12 atoms:
Rb 0.750 0.516 0.320
Rb 0.250 0.984 0.820
Rb 0.750 0.016 0.180
Rb 0.250 0.484 0.680
Zn 0.250 0.398 0.003
Zn 0.250 0.898 0.497
Zn 0.750 0.102 0.503
Zn 0.750 0.602 0.997
P 0.250 0.200 0.426
P 0.250 0.700 0.074
P 0.750 0.800 0.574
P 0.750 0.300 0.926

***

Entry 11:
VASP calculation (PBE) on a geometry-optimized Rb2Cd4Cu structure.

ΔH_f (0 K) = 0.059 eV per atom
space-group type = I4/mmm, No. 139
total moment = 0.00 μB per formula unit

Cell: 5.211 5.211 10.254 Å, 75.28 75.28 90.00°
Fractional coordinates of all 7 atoms:
Cu 0.000 0.000 0.000
Rb 0.661 0.661 0.678
Rb 0.339 0.339 0.322
Cd 0.865 0.865 0.270
Cd 0.135 0.135 0.730
Cd 0.000 0.500 0.000
Cd 0.500 0.000 0.000

***

Entry 12:
VASP calculation (PBE) on a geometry-optimized CaAc12Nd6 structure.

ΔH_f (0 K) = 0.188 eV per atom
space-group type = R-3m, No. 166
total moment = 0.00 μB per formula unit

Cell: 9.948 9.948 9.948 Å, 107.02 107.02 107.02°
Fractional coordinates of all 19 atoms:
Ca 0.000 0.000 0.000
Ac 0.792 0.208 0.500
Ac 0.374 0.124 0.374
Ac 0.374 0.374 0.124
Ac 0.876 0.626 0.626
Ac 0.626 0.626 0.876
Ac 0.626 0.876 0.626
Ac 0.500 0.792 0.208
Ac 0.208 0.500 0.792
Ac 0.208 0.792 0.500
Ac 0.500 0.208 0.792
Ac 0.792 0.500 0.208
Ac 0.124 0.374 0.374
Nd 0.071 0.693 0.071
Nd 0.071 0.071 0.693
Nd 0.693 0.071 0.071
Nd 0.929 0.929 0.307
Nd 0.929 0.307 0.929
Nd 0.307 0.929 0.929